a:
{"formula": "Ag2Mo2Br", "functional": "PBE-GGA", "state": "optimized geometry", "lattice_angstrom": [[6.6992, 0.0000, 0.0000], [0.0000, 6.6992, 0.0000], [0.0000, 0.0000, 4.3830]], "species": ["Ag", "Ag", "Ag", "Ag", "Mo", "Mo", "Mo", "Mo", "Br", "Br"], "frac_coords": [[0.1709, 0.3291, 0.0000], [0.3291, 0.8291, 0.0000], [0.6709, 0.1709, 0.0000], [0.8291, 0.6709, 0.0000], [0.1173, 0.6173, 0.5000], [0.3827, 0.1173, 0.5000], [0.6173, 0.8827, 0.5000], [0.8827, 0.3827, 0.5000], [0.0000, 0.0000, 0.5000], [0.5000, 0.5000, 0.5000]]}

=====

b:
{"formula": "Ag2Mo2Br", "functional": "PBE-GGA", "state": "optimized geometry", "lattice_angstrom": [[-1.9140, 1.9140, 6.7162], [1.9140, -1.9140, 6.7162], [1.9140, 1.9140, -6.7162]], "species": ["Ag", "Ag", "Mo", "Mo", "Br"], "frac_coords": [[0.2500, 0.7500, 0.5000], [0.7500, 0.2500, 0.5000], [0.0847, 0.0847, 0.0000], [0.9153, 0.9153, 0.0000], [0.5000, 0.5000, 0.0000]]}

=====

Which one is most stable, and which one is least stable? a is the most stable of them, while b is the least stable.

=====

a:
{"formula": "Ag3BrN", "functional": "PBE-GGA", "state": "optimized geometry", "lattice_angstrom": [[5.3296, 0.0000, 0.0000], [0.0000, 5.3296, 0.0000], [0.0000, 0.0000, 5.3296]], "species": ["Ag", "Ag", "Ag", "Br", "N"], "frac_coords": [[0.0000, 0.0000, 0.5000], [0.0000, 0.5000, 0.0000], [0.5000, 0.0000, 0.0000], [0.0000, 0.0000, 0.0000], [0.5000, 0.5000, 0.5000]]}

=====

b:
{"formula": "Ag3BrN", "functional": "PBE-GGA", "state": "optimized geometry", "lattice_angstrom": [[4.5026, 0.0000, 0.0000], [0.0000, 4.5026, 0.0000], [0.0000, 0.0000, 4.5026]], "species": ["Ag", "Ag", "Ag", "Br", "N"], "frac_coords": [[0.0000, 0.0000, 0.5000], [0.0000, 0.5000, 0.0000], [0.5000, 0.0000, 0.0000], [0.5000, 0.5000, 0.5000], [0.0000, 0.0000, 0.0000]]}

=====

Which one is most stable, and which one is least stable? b is the most stable of them, while a is the least stable.

=====

a:
{"formula": "AgBrN2", "functional": "PBE-GGA", "state": "optimized geometry", "lattice_angstrom": [[4.5389, 0.0000, 0.0000], [2.2622, 3.9695, 0.0000], [0.1569, 1.2421, 7.4593]], "species": ["Ag", "Br", "N", "N"], "frac_coords": [[0.0000, 0.0000, 0.0000], [0.3330, 0.3339, 0.0118], [0.7495, 0.4884, 0.4573], [0.8752, 0.2468, 0.5557]]}

=====

b:
{"formula": "AgBrN2", "functional": "PBE-GGA", "state": "optimized geometry", "lattice_angstrom": [[1.7144, 0.9898, 5.9662], [-1.7144, 0.9898, 5.9662], [0.0000, -1.9796, 5.9662]], "species": ["Ag", "Br", "N", "N"], "frac_coords": [[0.0000, 0.0000, 0.0000], [0.5000, 0.5000, 0.5000], [0.3868, 0.3868, 0.3868], [0.6132, 0.6132, 0.6132]]}

=====

c:
{"formula": "AgBrN2", "functional": "PBE-GGA", "state": "optimized geometry", "lattice_angstrom": [[0.0000, 2.9499, 2.9499], [2.9499, 0.0000, 2.9499], [2.9499, 2.9499, 0.0000]], "species": ["Ag", "Br", "N", "N"], "frac_coords": [[0.0000, 0.0000, 0.0000], [0.5000, 0.5000, 0.5000], [0.2500, 0.2500, 0.2500], [0.7500, 0.7500, 0.7500]]}

=====

d:
{"formula": "AgBrN2", "functional": "PBE-GGA", "state": "optimized geometry", "lattice_angstrom": [[-2.3984, 2.3984, 5.5508], [2.3984, -2.3984, 5.5508], [2.3984, 2.3984, -5.5508]], "species": ["Ag", "Ag", "Br", "Br", "N", "N", "N", "N"], "frac_coords": [[0.0000, 0.0000, 0.0000], [0.7500, 0.2500, 0.5000], [0.2500, 0.7500, 0.5000], [0.5000, 0.5000, 0.0000], [0.1548, 0.6250, 0.0298], [0.3750, 0.4048, 0.5298], [0.5952, 0.1250, 0.9702], [0.8750, 0.8452, 0.4702]]}

=====

Which one is most stable, and which one is least stable? a is the most stable of them, while c is the least stable.

=====

a:
{"formula": "AgBrN", "functional": "PBE-GGA", "state": "optimized geometry", "lattice_angstrom": [[4.4208, 0.0000, 0.0000], [-1.9445, 3.9807, 0.0000], [-1.1299, -1.9719, 10.9987]], "species": ["Ag", "Ag", "Br", "Br", "N", "N"], "frac_coords": [[0.0000, 0.0000, 0.0000], [0.4205, 0.4165, 0.8324], [0.3732, 0.6971, 0.0746], [0.7232, 0.0399, 0.7579], [0.2726, 0.1307, 0.4467], [0.4741, 0.2432, 0.3902]]}

=====

b:
{"formula": "AgBrN", "functional": "PBE-GGA", "state": "optimized geometry", "lattice_angstrom": [[11.2021, 0.0000, 0.0000], [0.0000, 4.1611, 0.0000], [-1.5253, 0.0000, 7.6221]], "species": ["Ag", "Ag", "Ag", "Ag", "Br", "Br", "Br", "Br", "N", "N", "N", "N"], "frac_coords": [[0.0701, 0.1518, 0.3783], [0.0701, 0.3482, 0.8783], [0.9299, 0.6518, 0.1217], [0.9299, 0.8482, 0.6217], [0.1651, 0.6129, 0.6237], [0.1651, 0.8871, 0.1237], [0.8349, 0.1129, 0.8763], [0.8349, 0.3871, 0.3763], [0.4754, 0.0802, 0.5386], [0.4754, 0.4198, 0.0386], [0.5246, 0.5802, 0.9614], [0.5246, 0.9198, 0.4614]]}

=====

Which one is most stable, and which one is least stable? a is the most stable of them, while b is the least stable.

=====

a:
{"formula": "AgSBrN2", "functional": "PBE-GGA", "state": "optimized geometry", "lattice_angstrom": [[3.7648, 0.0000, 0.0000], [0.0000, 3.7648, 0.0000], [0.0000, 0.0000, 6.8753]], "species": ["Ag", "S", "Br", "N", "N"], "frac_coords": [[0.0000, 0.0000, 0.0000], [0.5000, 0.5000, 0.0000], [0.5000, 0.5000, 0.5000], [0.0000, 0.5000, 0.5000], [0.5000, 0.0000, 0.5000]]}

=====

b:
{"formula": "AgSBrN2", "functional": "PBE-GGA", "state": "optimized geometry", "lattice_angstrom": [[4.0777, 0.0000, 0.0000], [0.0000, 4.0777, 0.0000], [0.0000, 0.0000, 5.9181]], "species": ["Ag", "S", "Br", "N", "N"], "frac_coords": [[0.0000, 0.0000, 0.0000], [0.0000, 0.0000, 0.5000], [0.5000, 0.5000, 0.5000], [0.0000, 0.5000, 0.0000], [0.5000, 0.0000, 0.0000]]}

=====

Which one is most stable, and which one is least stable? b is the most stable of them, while a is the least stable.

=====

a:
{"formula": "AgSeBrN2", "functional": "PBE-GGA", "state": "optimized geometry", "lattice_angstrom": [[3.8212, 0.0000, 0.0000], [0.0000, 3.8212, 0.0000], [0.0000, 0.0000, 7.6057]], "species": ["Ag", "Se", "Br", "N", "N"], "frac_coords": [[0.0000, 0.0000, 0.0000], [0.5000, 0.5000, 0.0000], [0.5000, 0.5000, 0.5000], [0.0000, 0.5000, 0.5000], [0.5000, 0.0000, 0.5000]]}

=====

b:
{"formula": "AgSeBrN2", "functional": "PBE-GGA", "state": "optimized geometry", "lattice_angstrom": [[4.1165, 0.0000, 0.0000], [0.0000, 4.1165, 0.0000], [0.0000, 0.0000, 6.1455]], "species": ["Ag", "Se", "Br", "N", "N"], "frac_coords": [[0.0000, 0.0000, 0.0000], [0.0000, 0.0000, 0.5000], [0.5000, 0.5000, 0.5000], [0.0000, 0.5000, 0.0000], [0.5000, 0.0000, 0.0000]]}

=====

Which one is most stable, and which one is least stable? b is the most stable of them, while a is the least stable.

=====

a:
{"formula": "AgTe2BrN", "functional": "PBE-GGA", "state": "optimized geometry", "lattice_angstrom": [[5.9090, 0.0000, 0.0000], [0.0000, 5.9090, 0.0000], [0.0000, 0.0000, 3.6640]], "species": ["Ag", "Te", "Te", "Br", "N"], "frac_coords": [[0.0000, 0.0000, 0.0000], [0.0000, 0.5000, 0.5000], [0.5000, 0.0000, 0.5000], [0.5000, 0.5000, 0.5000], [0.5000, 0.5000, 0.0000]]}

=====

b:
{"formula": "AgTe2BrN", "functional": "PBE-GGA", "state": "optimized geometry", "lattice_angstrom": [[5.7446, 0.0000, 0.0000], [0.0000, 5.7446, 0.0000], [0.0000, 0.0000, 3.9408]], "species": ["Ag", "Te", "Te", "Br", "N"], "frac_coords": [[0.0000, 0.0000, 0.0000], [0.0000, 0.5000, 0.0000], [0.5000, 0.0000, 0.0000], [0.5000, 0.5000, 0.5000], [0.0000, 0.0000, 0.5000]]}

=====

Which one is most stable, and which one is least stable? b is the most stable of them, while a is the least stable.

=====

a:
{"formula": "AgTeBrN2", "functional": "PBE-GGA", "state": "optimized geometry", "lattice_angstrom": [[4.2546, 0.0000, 0.0000], [0.0000, 4.2546, 0.0000], [0.0000, 0.0000, 6.1612]], "species": ["Ag", "Te", "Br", "N", "N"], "frac_coords": [[0.0000, 0.0000, 0.0000], [0.0000, 0.0000, 0.5000], [0.5000, 0.5000, 0.5000], [0.0000, 0.5000, 0.0000], [0.5000, 0.0000, 0.0000]]}

=====

b:
{"formula": "AgTeBrN2", "functional": "PBE-GGA", "state": "optimized geometry", "lattice_angstrom": [[3.9795, 0.0000, 0.0000], [0.0000, 3.9795, 0.0000], [0.0000, 0.0000, 8.1262]], "species": ["Ag", "Te", "Br", "N", "N"], "frac_coords": [[0.0000, 0.0000, 0.0000], [0.5000, 0.5000, 0.0000], [0.5000, 0.5000, 0.5000], [0.0000, 0.5000, 0.5000], [0.5000, 0.0000, 0.5000]]}

=====

Which one is most stable, and which one is least stable? a is the most stable of them, while b is the least stable.